Entry 1:
VASP calculation (PBE) on a relaxed Hf12Sb6Au crystal.

Lattice parameters (Å, degrees): 7.5118 7.5118 7.5118 92.01 92.01 92.01
Closest atoms and distances in Å follow each position.
Atoms (fractional coordinates):
Hf1 0.8019 0.5281 0.4340  4 Sb 2.91-3.02, 4 Hf 3.02-3.15
Sb1 0.8781 0.2779 0.7115  8 Hf 2.91-3.23, 1 Au 3.19
Hf2 0.4340 0.8019 0.5281  4 Sb 2.91-3.02, 4 Hf 3.02-3.15
Sb2 0.2885 0.1219 0.7221  8 Hf 2.91-3.23, 1 Au 3.19
Hf3 0.1369 0.3683 0.0459  1 Au 2.92, 4 Hf 2.98-3.11, 5 Sb 3.08-3.27
Hf4 0.8631 0.6317 0.9541  1 Au 2.92, 4 Hf 2.98-3.11, 5 Sb 3.08-3.27
Hf5 0.5281 0.4340 0.8019  4 Sb 2.91-3.02, 4 Hf 3.02-3.15
Hf6 0.9541 0.8631 0.6317  1 Au 2.92, 4 Hf 2.98-3.11, 5 Sb 3.08-3.27
Sb3 0.7221 0.2885 0.1219  8 Hf 2.91-3.23, 1 Au 3.19
Hf7 0.4719 0.5660 0.1981  4 Sb 2.91-3.02, 4 Hf 3.02-3.15
Sb4 0.7115 0.8781 0.2779  8 Hf 2.91-3.23, 1 Au 3.19
Sb5 0.2779 0.7115 0.8781  8 Hf 2.91-3.23, 1 Au 3.19
Sb6 0.1219 0.7221 0.2885  8 Hf 2.91-3.23, 1 Au 3.19
Hf8 0.0459 0.1369 0.3683  1 Au 2.92, 4 Hf 2.98-3.11, 5 Sb 3.08-3.27
Hf9 0.5660 0.1981 0.4719  4 Sb 2.91-3.02, 4 Hf 3.02-3.15
Hf10 0.6317 0.9541 0.8631  1 Au 2.92, 4 Hf 2.98-3.11, 5 Sb 3.08-3.27
Au1 0.0000 0.0000 0.0000  6 Hf 2.92, 6 Sb 3.19
Hf11 0.3683 0.0459 0.1369  1 Au 2.92, 4 Hf 2.98-3.11, 5 Sb 3.08-3.27
Hf12 0.1981 0.4719 0.5660  4 Sb 2.91-3.02, 4 Hf 3.02-3.15

Properties
Space-group type: R-3

---

Entry 2:
VASP calculation (PBE) on a relaxed Hf2SbAu2 crystal.

Lattice parameters (Å, degrees): 7.6644 7.6644 3.6965 90.00 90.00 90.00
Closest atoms and distances in Å follow each position.
Atoms (fractional coordinates):
Au1 0.8654 0.3654 0.5000  6 Hf 2.90-2.92, 1 Au 2.92
Au2 0.6346 0.8654 0.5000  6 Hf 2.90-2.92, 1 Au 2.92
Hf1 0.8402 0.6598 0.0000  2 Sb 2.88, 6 Au 2.90-2.92
Au3 0.3654 0.1346 0.5000  6 Hf 2.90-2.92, 1 Au 2.92
Sb1 0.5000 0.5000 0.0000  4 Hf 2.88
Sb2 0.0000 0.0000 0.0000  4 Hf 2.88
Hf2 0.3402 0.8402 0.0000  2 Sb 2.88, 6 Au 2.90-2.92
Hf3 0.6598 0.1598 0.0000  2 Sb 2.88, 6 Au 2.90-2.92
Au4 0.1346 0.6346 0.5000  6 Hf 2.90-2.92, 1 Au 2.92
Hf4 0.1598 0.3402 0.0000  2 Sb 2.88, 6 Au 2.90-2.92

Properties
Relative energy among the computed polymorphs: 7 meV/atom
Space-group type: P4/mbm

---

Entry 3:
VASP calculation (PBE) on a relaxed Hf2SbAu2 crystal.

Lattice parameters (Å, degrees): 3.7767 3.7767 8.0986 76.52 76.52 90.00
Closest atoms and distances in Å follow each position.
Atoms (fractional coordinates):
Au1 0.7500 0.2500 0.5000  4 Au 2.67, 4 Hf 2.91
Hf1 0.6050 0.6050 0.7900  4 Au 2.91, 4 Sb 3.12, 1 Hf 3.21
Hf2 0.3950 0.3950 0.2100  4 Au 2.91, 4 Sb 3.12, 1 Hf 3.21
Sb1 0.0000 0.0000 0.0000  8 Hf 3.12
Au2 0.2500 0.7500 0.5000  4 Au 2.67, 4 Hf 2.91

Properties
Relative energy among the computed polymorphs: 121 meV/atom
Space-group type: I4/mmm

---

Going through the records in order, we get E_tot values of -151.47; -64.14; -31.50 eV per cell.
Going through the records in order, we get E_form (uncorrected) values of -0.2114; -0.2969; -0.1834 eV per atom.